9
Lattice="-2.737 -0.306 4.810 -4.839 -2.689 0.269 2.540 -4.454 1.162" Properties=species:S:1:pos:R:3 comment="AcTmMoO6, optimized geometry, DFT PBE+U" sg="No. 149" dft_energy_ev_per_atom=-7.79 pbc="T T T"
Ac -0.197 -4.760 5.972
Tm -3.781 -4.224 3.967
Mo -1.255 -3.225 2.274
O -1.053 -2.240 0.595
O 0.681 -3.366 2.519
O -1.573 -4.296 3.881
O -1.268 -4.832 1.156
O -3.203 -3.051 2.185
O -1.116 -1.569 3.307